[1]
This record from Alexandria describes a geometry-optimized TaRu4Br structure. The functional is PBE.

Values from the calculation:
Formation energy from raw total energies   0.77 eV per atom
Magnetization   0.001 μB per formula unit
Fermi-level density of states   38.39 states/eV per cell

abc: 7.3128 7.3128 7.3128
angles: 90.00 90.00 90.00
Space group F-43m (No. 216)
Inequivalent atoms, fractional coordinates:
Ta  0.0000  0.0000  0.0000
Ru  0.1254  0.1254  0.3746
Br  0.2500  0.2500  0.7500


[2]
This record from Alexandria describes a geometry-optimized CuPd2Pt2Rh structure. The functional is PBE.

Values from the calculation:
Magnetization   0.007 μB per formula unit
Fermi-level density of states   21.33 states/eV per cell
DFT formation energy   0.124 eV per atom

abc: 5.1952 5.3736 6.6428
angles: 90.00 97.70 90.00
Space group P2_1/m (No. 11)
Inequivalent atoms, fractional coordinates:
Cu  0.2012  0.2500  0.1526
Pd  0.3145  0.9999  0.8263
Pt  0.0028  0.7500  0.5108
Pt  0.4992  0.2500  0.5075
Rh  0.1725  0.7500  0.1506


[3]
This record from Alexandria describes a geometry-optimized Li3Cu2H4Cl2 structure. The functional is PBE.

Values from the calculation:
Magnetization   0.000 μB per formula unit
Fermi-level density of states   3.48 states/eV per cell
Total DFT energy (no corrections)   -75.0 eV/cell

abc: 3.4111 3.4111 22.5552
angles: 90.00 90.00 90.00
Space group I4/mmm (No. 139)
Inequivalent atoms, fractional coordinates:
Li  0.0000  0.0000  0.0000
Li  0.0000  0.0000  0.1951
Cu  0.0000  0.0000  0.4385
H  0.0000  0.5000  0.0589
Cl  0.0000  0.0000  0.3106